The following is a PBE with a Hubbard U calculation of LaNiO2 after structural relaxation, from the Alexandria database.

Output
ρ = 7.131 g/cm3
Final energy = -26.05 eV per cell
SG = P4/mmm, No. 123

abc: 3.339 4.002 4.002
angles: 90.00 90.00 90.00
Site moments in Bohr magnetons follow the coordinates.
Fractional coordinates of all 4 atoms:
1 O 0.000 0.000 0.500  0.03
2 La 0.500 0.500 0.500  -0.02
3 O 0.000 0.500 0.000  0.01
4 Ni 0.000 0.000 0.000  1.02